! Ba2RuAu GGA-PBE relaxed; values from VASP
&SYSTEM
  ibrav = 0, nat = 4, ntyp = 3
/
ATOMIC_SPECIES
Ba 137.33 Ba.upf
Ru 101.07 Ru.upf
Au 196.97 Au.upf
CELL_PARAMETERS angstrom
-4.058 2.886 -1.972
-1.052 -0.098 -5.251
-4.404 -2.456 -1.804
ATOMIC_POSITIONS crystal
Ba 0.000 0.000 0.000
Ru 0.750 0.750 0.750
Au 0.500 0.500 0.500
Ba 0.250 0.250 0.250
! - Energy relative to the elements: 356 meV/atom
! - Total magnetization: 0.83 Bohr magnetons per cell


! BaRuAu2 GGA-PBE relaxed; values from VASP
&SYSTEM
  ibrav = 0, nat = 4, ntyp = 3
/
ATOMIC_SPECIES
Ba 137.33 Ba.upf
Au 196.97 Au.upf
Ru 101.07 Ru.upf
CELL_PARAMETERS angstrom
4.886 0.000 0.000
0.000 4.886 0.000
0.000 0.000 3.781
ATOMIC_POSITIONS crystal
Ba 0.500 0.000 0.500
Au 0.000 0.000 0.000
Au 0.500 0.500 0.000
Ru 0.000 0.500 0.500
! - Energy relative to the elements: 322 meV/atom
! - Total magnetization: 0.00 Bohr magnetons per cell


! Ba2RuAu GGA-PBE relaxed; values from VASP
&SYSTEM
  ibrav = 0, nat = 4, ntyp = 3
/
ATOMIC_SPECIES
Ru 101.07 Ru.upf
Ba 137.33 Ba.upf
Au 196.97 Au.upf
CELL_PARAMETERS angstrom
-2.628 -7.267 4.246
4.903 1.107 -2.597
1.836 -0.724 3.155
ATOMIC_POSITIONS crystal
Ru 0.000 0.500 0.500
Ba 0.500 0.000 0.500
Au 0.500 0.500 0.000
Ba 0.000 0.000 0.000
! - Energy relative to the elements: 146 meV/atom
! - Total magnetization: 0.77 Bohr magnetons per cell


! Ba2RuAu GGA-PBE relaxed; values from VASP
&SYSTEM
  ibrav = 0, nat = 4, ntyp = 3
/
ATOMIC_SPECIES
Ru 101.07 Ru.upf
Ba 137.33 Ba.upf
Au 196.97 Au.upf
CELL_PARAMETERS angstrom
-8.891 0.844 -2.128
-7.398 -1.484 -5.230
-8.431 -3.254 -1.615
ATOMIC_POSITIONS crystal
Ru 0.250 0.250 0.250
Ba 0.506 0.506 0.506
Au 0.750 0.750 0.750
Ba 0.994 0.994 0.994
! - Energy relative to the elements: 258 meV/atom
! - Total magnetization: 0.18 Bohr magnetons per cell


! BaRuAu2 GGA-PBE relaxed; values from VASP
&SYSTEM
  ibrav = 0, nat = 4, ntyp = 3
/
ATOMIC_SPECIES
Au 196.97 Au.upf
Ba 137.33 Ba.upf
Ru 101.07 Ru.upf
CELL_PARAMETERS angstrom
3.518 0.000 0.000
0.000 3.517 0.000
0.000 0.000 7.355
ATOMIC_POSITIONS crystal
Au 0.000 0.000 0.937
Ba 0.500 0.500 0.250
Ru 0.500 0.500 0.750
Au 0.000 0.000 0.563
! - Energy relative to the elements: 195 meV/atom
! - Total magnetization: 0.92 Bohr magnetons per cell


! BaRuAu3 GGA-PBE relaxed; values from VASP
&SYSTEM
  ibrav = 0, nat = 5, ntyp = 3
/
ATOMIC_SPECIES
Au 196.97 Au.upf
Ba 137.33 Ba.upf
Ru 101.07 Ru.upf
CELL_PARAMETERS angstrom
5.153 0.000 0.000
0.000 5.153 0.000
0.000 0.000 5.153
ATOMIC_POSITIONS crystal
Au 0.500 0.000 0.000
Ba 0.500 0.500 0.500
Au 0.000 0.000 0.500
Au 0.000 0.500 0.000
Ru 0.000 0.000 0.000
! - Energy relative to the elements: 46 meV/atom
! - Total magnetization: 1.68 Bohr magnetons per cell


! Ba2RuAu GGA-PBE relaxed; values from VASP
&SYSTEM
  ibrav = 0, nat = 4, ntyp = 3
/
ATOMIC_SPECIES
Ba 137.33 Ba.upf
Ru 101.07 Ru.upf
Au 196.97 Au.upf
CELL_PARAMETERS angstrom
-3.511 -2.094 -1.173
-0.554 -1.682 4.660
-3.559 5.160 1.440
ATOMIC_POSITIONS crystal
Ba 0.000 0.000 0.875
Ba 0.500 0.500 0.375
Ru 0.000 0.000 0.376
Au 0.500 0.500 0.874
! - Energy relative to the elements: 257 meV/atom
! - Total magnetization: 1.19 Bohr magnetons per cell


! Ba2RuAu GGA-PBE relaxed; values from VASP
&SYSTEM
  ibrav = 0, nat = 4, ntyp = 3
/
ATOMIC_SPECIES
Ba 137.33 Ba.upf
Ru 101.07 Ru.upf
Au 196.97 Au.upf
CELL_PARAMETERS angstrom
-0.141 -4.608 4.268
1.031 -5.832 -2.096
2.784 5.603 -0.565
ATOMIC_POSITIONS crystal
Ba 0.000 0.000 0.000
Ru 0.500 0.500 0.000
Ba 0.250 0.750 0.500
Au 0.750 0.250 0.500
! - Energy relative to the elements: 300 meV/atom
! - Total magnetization: 0.83 Bohr magnetons per cell


! BaRuAu3 GGA-PBE relaxed; values from VASP
&SYSTEM
  ibrav = 0, nat = 5, ntyp = 3
/
ATOMIC_SPECIES
Au 196.97 Au.upf
Ru 101.07 Ru.upf
Ba 137.33 Ba.upf
CELL_PARAMETERS angstrom
5.981 0.000 0.000
0.000 5.981 0.000
0.000 0.000 5.981
ATOMIC_POSITIONS crystal
Au 0.000 0.500 0.000
Ru 0.500 0.500 0.500
Au 0.500 0.000 0.000
Ba 0.000 0.000 0.000
Au 0.000 0.000 0.500
! - Energy relative to the elements: 1527 meV/atom
! - Total magnetization: 3.07 Bohr magnetons per cell


! BaRuAu2 GGA-PBE relaxed; values from VASP
&SYSTEM
  ibrav = 0, nat = 4, ntyp = 3
/
ATOMIC_SPECIES
Au 196.97 Au.upf
Ru 101.07 Ru.upf
Ba 137.33 Ba.upf
CELL_PARAMETERS angstrom
5.033 0.000 0.000
2.517 4.359 0.000
2.517 1.453 4.110
ATOMIC_POSITIONS crystal
Au 0.250 0.250 0.250
Ru 0.750 0.750 0.750
Ba 0.500 0.500 0.500
Au 0.000 0.000 0.000
! - Energy relative to the elements: 468 meV/atom
! - Total magnetization: 1.21 Bohr magnetons per cell


! BaRuAu2 GGA-PBE relaxed; values from VASP
&SYSTEM
  ibrav = 0, nat = 4, ntyp = 3
/
ATOMIC_SPECIES
Ba 137.33 Ba.upf
Au 196.97 Au.upf
Ru 101.07 Ru.upf
CELL_PARAMETERS angstrom
5.994 -1.394 -0.819
5.250 3.211 -0.819
5.250 0.848 3.204
ATOMIC_POSITIONS crystal
Ba 0.498 0.498 0.498
Au 0.307 0.307 0.307
Au 0.016 0.016 0.016
Ru 0.678 0.678 0.678
! - Energy relative to the elements: -51 meV/atom
! - Total magnetization: 0.00 Bohr magnetons per cell


! BaRuAu2 GGA-PBE relaxed; values from VASP
&SYSTEM
  ibrav = 0, nat = 4, ntyp = 3
/
ATOMIC_SPECIES
Ru 101.07 Ru.upf
Au 196.97 Au.upf
Ba 137.33 Ba.upf
CELL_PARAMETERS angstrom
-3.229 -4.054 1.950
-1.360 -3.477 -4.089
4.868 2.019 1.699
ATOMIC_POSITIONS crystal
Ru 0.750 0.250 0.500
Au 0.500 0.500 0.000
Ba 0.250 0.750 0.500
Au 0.000 0.000 0.000
! - Energy relative to the elements: 403 meV/atom
! - Total magnetization: 1.75 Bohr magnetons per cell